(1)
DFT (GGA-PBE) results for an optimized crystal structure of Hf2TiCuH.

Total magnetic moment = 0.0 Bohr magnetons per cell
Crystal system = tetragonal
Energy = -7.141 eV per atom

```
Hf2TiCuH
1.0
4.338 0.000 0.000
0.000 4.338 0.000
0.000 0.000 3.983
H Hf Cu Ti
1 2 1 1
Direct
0.000 0.000 0.000
0.000 0.500 0.000
0.500 0.000 0.000
0.500 0.500 0.500
0.000 0.000 0.500
```



(2)
DFT (GGA-PBE) results for an optimized crystal structure of HfZnCu2H.

Total magnetic moment = 0.0 Bohr magnetons per cell
Crystal system = tetragonal
Energy = -4.578 eV per atom

```
HfZnCu2H
1.0
4.024 0.000 0.000
0.000 4.024 0.000
0.000 0.000 3.956
H Zn Hf Cu
1 1 1 2
Direct
0.000 0.000 0.000
0.500 0.500 0.500
0.000 0.000 0.500
0.000 0.500 0.000
0.500 0.000 0.000
```